The following is a PBE with a Hubbard U calculation of crystalline CoCu2IrO6 at its relaxed geometry, from the Alexandria database.

Structure (POSCAR):
```
CoCu2IrO6
1.0
2.5329 1.4624 4.5143
-2.5329 1.4624 4.5143
0.0000 -2.9247 4.5143
Co Cu Ir O
1 2 1 6
Cartesian
0.0000 0.0000 0.0000
0.0000 0.0000 4.1243
0.0000 0.0000 10.1836
0.0000 0.0000 6.8816
-0.6520 -1.3996 5.5699
-1.6724 -0.1481 7.8853
-0.8861 1.2644 5.5699
0.9644 -1.3743 7.8853
1.5380 0.1351 5.5699
0.7080 1.5224 7.8853
```

## Properties
raw total energy = -5.750 eV/atom